Entry one
First-principles (PBE) data for a relaxed RbHfRe3 crystal, as listed in the Alexandria database.

Values from the calculation:
**Density**: 13.51 g/cm3

Unit cell a=4.6591 b=4.6591 c=4.6591 alpha=90.00 beta=90.00 gamma=90.00
Atoms (fractional coordinates):
Rb  0.0000  0.0000  0.0000
Hf  0.5000  0.5000  0.5000
Re  0.0000  0.0000  0.5000
Re  0.0000  0.5000  0.0000
Re  0.5000  0.0000  0.0000

***

Entry two
First-principles (PBE) data for a relaxed RbHfRe3 crystal, as listed in the Alexandria database.

Values from the calculation:
**Density**: 10.78 g/cm3

Unit cell a=5.0231 b=5.0231 c=5.0231 alpha=90.00 beta=90.00 gamma=90.00
Atoms (fractional coordinates):
Rb  0.0000  0.0000  0.0000
Hf  0.5000  0.5000  0.5000
Re  0.0000  0.5000  0.5000
Re  0.5000  0.0000  0.5000
Re  0.5000  0.5000  0.0000

***

Energy ordering: entry two at the bottom, the next structure 963 meV per atom above.

***

Entry one
First-principles (PBE) data for a relaxed TmTlCd2 crystal, as listed in the Alexandria database.

Values from the calculation:
**Density**: 10.19 g/cm3

Unit cell a=4.4845 b=4.4845 c=4.8463 alpha=90.00 beta=90.00 gamma=90.00
Atoms (fractional coordinates):
Tm  0.0000  0.0000  0.0000
Tl  0.5000  0.5000  0.0000
Cd  0.0000  0.5000  0.5000
Cd  0.5000  0.0000  0.5000

***

Entry two
First-principles (PBE) data for a relaxed TmTlCd2 crystal, as listed in the Alexandria database.

Values from the calculation:
**Density**: 9.98 g/cm3

Unit cell a=7.3561 b=7.3561 c=7.3561 alpha=90.00 beta=90.00 gamma=90.00
Atoms (fractional coordinates):
Tm  0.0000  0.0000  0.0000
Tm  0.0000  0.5000  0.5000
Tm  0.5000  0.0000  0.5000
Tm  0.5000  0.5000  0.0000
Tl  0.0000  0.0000  0.5000
Tl  0.0000  0.5000  0.0000
Tl  0.5000  0.0000  0.0000
Tl  0.5000  0.5000  0.5000
Cd  0.2500  0.2500  0.2500
Cd  0.2500  0.2500  0.7500
Cd  0.2500  0.7500  0.2500
Cd  0.2500  0.7500  0.7500
Cd  0.7500  0.2500  0.2500
Cd  0.7500  0.2500  0.7500
Cd  0.7500  0.7500  0.2500
Cd  0.7500  0.7500  0.7500

***

Energy ordering: entry one at the bottom, the next structure 130 meV per atom above.